3
Lattice="3.745 0.000 0.000 -1.873 3.243 0.000 0.000 0.000 2.772" Properties=species:S:1:pos:R:3 comment="GGA-PBE Mn2S, optimized geometry" mass_density_g_cm3=7.00 e_form_raw_ev_per_atom=0.03 final_energy_ev_per_cell=-22.364 pbc="T T T"
Mn 0.000 2.162 0.639
Mn 1.873 1.081 2.133
S 0.000 0.000 0.000